Record 1
{
  "formula": "Pb5S4Br",
  "functional": "PBE",
  "state": "relaxed",
  "n_ef_per_ev_atom": 0.2531,
  "space_group": "C2/m",
  "m_tot_mub_per_cell": 0.00,
  "raw_formation_energy_kj_per_mol_atoms": -49,
  "lattice_angstrom": [[7.208, -2.067, 0.000], [7.208, 2.067, 0.000], [-6.003, 0.000, 9.520]],
  "species": ["Pb", "Pb", "Pb", "Pb", "Pb", "S", "S", "S", "S", "Br"],
  "fractional_positions": [[0.000, 0.000, 0.000], [0.207, 0.207, 0.819], [0.388, 0.388, 0.617], [0.612, 0.612, 0.383], [0.793, 0.793, 0.181], [0.201, 0.201, 0.297], [0.400, 0.400, 0.100], [0.600, 0.600, 0.900], [0.799, 0.799, 0.703], [0.000, 0.000, 0.500]]
}



Record 2
{
  "formula": "Sm8IrRh3Br4",
  "functional": "PBE",
  "state": "relaxed",
  "n_ef_per_ev_atom": 0.2087,
  "space_group": "C2/m",
  "m_tot_mub_per_cell": 0.00,
  "raw_formation_energy_kj_per_mol_atoms": -105,
  "lattice_angstrom": [[7.079, -4.087, 0.000], [7.079, 4.087, 0.000], [-4.728, 0.000, 7.753]],
  "species": ["Sm", "Sm", "Sm", "Sm", "Sm", "Sm", "Sm", "Sm", "Ir", "Rh", "Rh", "Rh", "Br", "Br", "Br", "Br"],
  "fractional_positions": [[0.231, 0.231, 0.694], [0.231, 0.733, 0.695], [0.267, 0.769, 0.305], [0.268, 0.268, 0.306], [0.732, 0.732, 0.694], [0.733, 0.231, 0.695], [0.769, 0.267, 0.305], [0.769, 0.769, 0.306], [0.000, 0.000, 0.500], [0.000, 0.500, 0.500], [0.500, 0.000, 0.500], [0.500, 0.500, 0.500], [0.000, 0.000, 0.000], [0.000, 0.500, 0.000], [0.500, 0.000, 0.000], [0.500, 0.500, 0.000]]
}



Record 3
{
  "formula": "FeTcSn",
  "functional": "PBE",
  "state": "relaxed",
  "n_ef_per_ev_atom": 0.9603,
  "space_group": "P-6m2",
  "ef_ev_per_atom": 0.3789,
  "m_tot_mub_per_cell": 3.98,
  "lattice_angstrom": [[3.026, 0.000, 0.000], [-1.513, 2.620, 0.000], [0.000, 0.000, 12.161]],
  "species": ["Fe", "Fe", "Tc", "Tc", "Sn", "Sn"],
  "fractional_positions": [[0.000, 0.000, 0.000], [0.333, 0.667, 0.500], [0.000, 0.000, 0.348], [0.000, 0.000, 0.652], [0.333, 0.667, 0.166], [0.333, 0.667, 0.834]]
}



Record 4
{
  "formula": "RbInCu",
  "functional": "PBE",
  "state": "relaxed",
  "n_ef_per_ev_atom": 0.5807,
  "space_group": "P-1",
  "ef_ev_per_atom": 0.0167,
  "m_tot_mub_per_cell": 0.00,
  "lattice_angstrom": [[4.429, 0.000, 0.000], [0.000, 5.192, 0.000], [-0.041, -1.033, 8.620]],
  "species": ["Rb", "Rb", "In", "In", "Cu", "Cu"],
  "fractional_positions": [[0.247, 0.281, 0.167], [0.753, 0.719, 0.833], [0.251, 0.155, 0.611], [0.749, 0.845, 0.389], [0.250, 0.631, 0.513], [0.750, 0.369, 0.487]]
}



Record 5
{
  "formula": "CsCeCl6",
  "functional": "PBE",
  "state": "relaxed",
  "polymorph_energy_ev_per_atom": 0.014,
  "n_ef_per_ev_atom": 1.3094,
  "space_group": "R-3m",
  "m_tot_mub_per_cell": 0.87,
  "raw_formation_energy_kj_per_mol_atoms": -156,
  "lattice_angstrom": [[3.597, 2.077, 6.705], [-3.597, 2.077, 6.705], [0.000, -4.154, 6.705]],
  "species": ["Cs", "Ce", "Cl", "Cl", "Cl", "Cl", "Cl", "Cl"],
  "fractional_positions": [[0.000, 0.000, 0.000], [0.500, 0.500, 0.500], [0.084, 0.591, 0.591], [0.409, 0.409, 0.916], [0.409, 0.916, 0.409], [0.591, 0.084, 0.591], [0.591, 0.591, 0.084], [0.916, 0.409, 0.409]]
}



Record 6
{
  "formula": "Tm2TiRe3",
  "functional": "PBE",
  "state": "relaxed",
  "n_ef_per_ev_atom": 0.9191,
  "space_group": "C2/m",
  "ef_ev_per_atom": -0.2710,
  "m_tot_mub_per_cell": 0.00,
  "lattice_angstrom": [[4.650, -2.679, 0.000], [4.650, 2.679, 0.000], [-3.103, 0.000, 4.503]],
  "species": ["Tm", "Tm", "Ti", "Re", "Re", "Re"],
  "fractional_positions": [[0.122, 0.122, 0.367], [0.878, 0.878, 0.633], [0.500, 0.500, 0.500], [0.000, 0.500, 0.000], [0.500, 0.000, 0.000], [0.500, 0.500, 0.000]]
}



Please write out number 1 again, unchanged.
{
  "formula": "Pb5S4Br",
  "functional": "PBE",
  "state": "relaxed",
  "n_ef_per_ev_atom": 0.2531,
  "space_group": "C2/m",
  "m_tot_mub_per_cell": 0.00,
  "raw_formation_energy_kj_per_mol_atoms": -49,
  "lattice_angstrom": [[7.208, -2.067, 0.000], [7.208, 2.067, 0.000], [-6.003, 0.000, 9.520]],
  "species": ["Pb", "Pb", "Pb", "Pb", "Pb", "S", "S", "S", "S", "Br"],
  "fractional_positions": [[0.000, 0.000, 0.000], [0.207, 0.207, 0.819], [0.388, 0.388, 0.617], [0.612, 0.612, 0.383], [0.793, 0.793, 0.181], [0.201, 0.201, 0.297], [0.400, 0.400, 0.100], [0.600, 0.600, 0.900], [0.799, 0.799, 0.703], [0.000, 0.000, 0.500]]
}